Below is an optimized crystal structure of Ba2Co4BrO7, with properties calculated at the PBE+U level.

Calculated values
VASP energy: -5.848 eV per atom
total moment: 14.0 Bohr magnetons per cell

abc: 5.8094 5.8094 16.1036
angles: 100.17 100.17 60.25
Fractional coordinates of all 28 atoms:
Ba1 0.0668 0.0668 0.2038
Ba2 0.2190 0.2095 0.6414
Ba3 0.7905 0.7810 0.3586
Ba4 0.9332 0.9332 0.7962
Co1 0.2846 0.2808 0.8469
Co2 0.3987 0.3943 0.1920
Co3 0.4984 0.5016 0.0000
Co4 0.4986 0.0014 0.0003
Co5 0.6057 0.6013 0.8080
Co6 0.7192 0.7154 0.1531
Co7 0.9989 0.0011 0.0000
Co8 0.9986 0.5014 0.9997
Br1 0.1480 0.1339 0.4198
Br2 0.8661 0.8520 0.5802
O1 0.0763 0.5781 0.2308
O2 0.1488 0.1509 0.9374
O3 0.1488 0.6404 0.9371
O4 0.3541 0.3550 0.0648
O5 0.3596 0.8512 0.0629
O6 0.4219 0.9237 0.7692
O7 0.4315 0.4028 0.7688
O8 0.5951 0.0622 0.2309
O9 0.5972 0.5685 0.2312
O10 0.6380 0.1510 0.9374
O11 0.6450 0.6459 0.9352
O12 0.8490 0.3620 0.0626
O13 0.8491 0.8512 0.0626
O14 0.9378 0.4049 0.7691